Record 1
Density functional theory data (PBE) for a relaxed Co4Re crystal.

Output
The energy relative to the elements comes out at 0.136 eV per atom. The total moment is 5.92 μB/f.u. For the electronic total energy, the calculation gives -8.04 eV per atom.

```
data_Co4Re
_cell_length_a 2.5989
_cell_length_b 2.5989
_cell_length_c 30.7465
_cell_angle_alpha 90.00
_cell_angle_beta 90.00
_cell_angle_gamma 120.00
_symmetry_space_group_name_H-M 'R -3 m'
_symmetry_Int_Tables_number 166
_symmetry_space_group_name_Hall '-R 3 2"'
loop_
_atom_site_label
_atom_site_fract_x
_atom_site_fract_y
_atom_site_fract_z
Co1 0.0000 0.0000 0.0965
Co2 0.0000 0.0000 0.3011
Re1 0.0000 0.0000 0.5000
```

Record 2
Density functional theory data (PBE) for a relaxed AcTmGe crystal.

Output
The energy relative to the elements comes out at -0.568 eV per atom. The total moment is 0.83 μB/f.u. For the electronic total energy, the calculation gives -4.97 eV per atom.

```
data_AcTmGe
_cell_length_a 4.608
_cell_length_b 4.608
_cell_length_c 8.454
_cell_angle_alpha 90.00
_cell_angle_beta 90.00
_cell_angle_gamma 90.00
_symmetry_space_group_name_H-M 'P 4/n m m'
_symmetry_Int_Tables_number 129
loop_
_symmetry_equiv_pos_as_xyz
'x,y,z'
'-x,-y,-z'
'-y+1/2,x,z'
'y+1/2,-x,-z'
'-x+1/2,-y+1/2,z'
'x+1/2,y+1/2,-z'
'y,-x+1/2,z'
'-y,x+1/2,-z'
'x+1/2,-y,-z'
'-x+1/2,y,z'
'-y,-x,-z'
'y,x,z'
'-x,y+1/2,-z'
'x,-y+1/2,z'
'y+1/2,x+1/2,-z'
'-y+1/2,-x+1/2,z'
loop_
_atom_site_label
_atom_site_fract_x
_atom_site_fract_y
_atom_site_fract_z
Ac1 0.250 0.250 0.145
Tm1 0.250 0.750 0.500
Ge1 0.250 0.250 0.733
```

Record 3
Density functional theory data (PBE) for a relaxed GaNi2Pd crystal.

Output
The energy relative to the elements comes out at 0.036 eV per atom. The total moment is 0.44 μB/f.u. For the electronic total energy, the calculation gives -4.91 eV per atom.

```
data_GaNi2Pd
_cell_length_a 3.554
_cell_length_b 3.554
_cell_length_c 17.799
_cell_angle_alpha 90.00
_cell_angle_beta 90.00
_cell_angle_gamma 90.00
_symmetry_space_group_name_H-M 'I -4 2 d'
_symmetry_Int_Tables_number 122
_symmetry_space_group_name_Hall 'I -4 2bw'
loop_
_atom_site_label
_atom_site_fract_x
_atom_site_fract_y
_atom_site_fract_z
Ga1 0.000 0.000 0.000
Ni1 0.236 0.250 0.125
Pd1 0.000 0.000 0.500
```

Record 4
Density functional theory data (PBE) for a relaxed BaCd3 crystal.

Output
The energy relative to the elements comes out at -0.196 eV per atom. The total moment is 0.00 μB/f.u. For the electronic total energy, the calculation gives -1.36 eV per atom.

```
data_BaCd3
_cell_length_a 5.679
_cell_length_b 17.260
_cell_length_c 5.337
_cell_angle_alpha 90.00
_cell_angle_beta 90.00
_cell_angle_gamma 90.00
_symmetry_space_group_name_H-M 'C m c m'
_symmetry_Int_Tables_number 63
_symmetry_space_group_name_Hall '-C 2c 2'
loop_
_atom_site_label
_atom_site_fract_x
_atom_site_fract_y
_atom_site_fract_z
Ba1 0.000 0.094 0.250
Cd1 0.000 0.454 0.250
Cd2 0.250 0.206 0.750
```

> Among the records above, which one has the highest electronic total energy?

BaCd3

> Which value of total moment does entry 3 give?

0.44 μB/f.u.

> Look up the energy relative to the elements of the first one.

0.136 eV per atom

> electronic total energy of number 2 (AcTmGe)?

-4.97 eV per atom